## Ac2MgCo2O6 (PBE+U)

Data for Ac2MgCo2O6 after structural relaxation.

Unit cell a=5.889 b=5.889 c=6.234 alpha=61.81 beta=61.81 gamma=60.00
Last column: magnetic moment on the atom in μB.
Atoms (fractional coordinates):
1 O 0.241 0.241 0.734  0.13
2 O 0.759 0.217 0.266  0.13
3 O 0.217 0.759 0.266  0.13
4 O 0.759 0.759 0.266  0.13
5 O 0.241 0.783 0.734  0.13
6 O 0.783 0.241 0.734  0.13
7 Co 0.429 0.429 0.713  2.48
8 Co 0.571 0.571 0.287  2.48
9 Ac 0.784 0.784 0.648  0.01
10 Ac 0.216 0.216 0.352  0.01
11 Mg 0.000 0.000 0.000  0.01

Calculated values
The calculation puts the spin magnetization at 6.00 μB/cell. The value obtained for the total energy is -72.7 eV/cell.